No. 1
## CaPbCl2 (GGA-PBEsol)

Data for CaPbCl2 after structural relaxation. Values from VASP.

Output
- formation energy without anion corrections (meV/atom) = -1256
- V (Å³/atom) = 25.87

Geometry as Quantum ESPRESSO input:
```
&SYSTEM
  ibrav = 0, nat = 4, ntyp = 3
/
ATOMIC_SPECIES
Cl 35.45 Cl.upf
Ca 40.08 Ca.upf
Pb 207.20 Pb.upf
ATOMIC_POSITIONS angstrom
Cl -1.620 -2.597 -0.583
Ca -3.867 -4.709 2.757
Cl -3.271 -3.075 4.862
Pb -1.783 -1.676 2.649
CELL_PARAMETERS angstrom
-3.018 -0.384 -2.274
1.339 -3.341 -1.212
-3.545 -3.333 5.269
```


No. 2
## CaPb2Cl (GGA-PBEsol)

Data for CaPb2Cl after structural relaxation. Values from VASP.

Output
- formation energy without anion corrections (meV/atom) = -495
- V (Å³/atom) = 30.77

Geometry as Quantum ESPRESSO input:
```
&SYSTEM
  ibrav = 0, nat = 4, ntyp = 3
/
ATOMIC_SPECIES
Ca 40.08 Ca.upf
Pb 207.20 Pb.upf
Cl 35.45 Cl.upf
ATOMIC_POSITIONS angstrom
Ca -3.236 0.345 0.153
Pb -0.032 -0.804 1.145
Pb -0.100 -2.526 3.599
Cl -3.302 -1.320 2.524
CELL_PARAMETERS angstrom
-2.866 2.990 2.019
-3.606 -2.299 -1.714
-0.131 -3.330 4.743
```


No. 3
## Ca2PbCl (GGA-PBEsol)

Data for Ca2PbCl after structural relaxation. Values from VASP.

Output
- formation energy without anion corrections (meV/atom) = -1026
- V (Å³/atom) = 27.25

Geometry as Quantum ESPRESSO input:
```
&SYSTEM
  ibrav = 0, nat = 4, ntyp = 3
/
ATOMIC_SPECIES
Cl 35.45 Cl.upf
Ca 40.08 Ca.upf
Pb 207.20 Pb.upf
ATOMIC_POSITIONS angstrom
Cl 1.816 1.864 4.010
Ca 0.000 0.000 6.089
Ca 0.000 0.000 1.931
Pb 1.816 1.864 0.000
CELL_PARAMETERS angstrom
3.687 0.042 0.000
-0.054 3.687 0.000
0.000 0.000 8.019
```


No. 4
## CaPbCl2 (GGA-PBEsol)

Data for CaPbCl2 after structural relaxation. Values from VASP.

Output
- formation energy without anion corrections (meV/atom) = -1021
- V (Å³/atom) = 24.14

Geometry as Quantum ESPRESSO input:
```
&SYSTEM
  ibrav = 0, nat = 4, ntyp = 3
/
ATOMIC_SPECIES
Cl 35.45 Cl.upf
Pb 207.20 Pb.upf
Ca 40.08 Ca.upf
ATOMIC_POSITIONS angstrom
Cl 0.000 2.382 0.000
Pb 2.127 2.382 2.382
Ca 2.127 0.000 0.000
Cl 0.000 0.000 2.382
CELL_PARAMETERS angstrom
4.253 0.000 0.000
0.000 4.765 0.000
0.000 0.000 4.765
```


No. 5
## CaPbCl2 (GGA-PBEsol)

Data for CaPbCl2 after structural relaxation. Values from VASP.

Output
- formation energy without anion corrections (meV/atom) = -1239
- V (Å³/atom) = 25.60

Geometry as Quantum ESPRESSO input:
```
&SYSTEM
  ibrav = 0, nat = 4, ntyp = 3
/
ATOMIC_SPECIES
Cl 35.45 Cl.upf
Pb 207.20 Pb.upf
Ca 40.08 Ca.upf
ATOMIC_POSITIONS angstrom
Cl -2.048 -3.509 4.850
Cl -2.033 -2.333 1.529
Pb 1.410 -2.327 1.130
Ca -0.587 -1.372 3.937
CELL_PARAMETERS angstrom
-0.130 -3.320 -1.176
3.479 -1.152 2.867
-5.815 0.820 3.609
```


No. 6
## Ca2PbCl (GGA-PBEsol)

Data for Ca2PbCl after structural relaxation. Values from VASP.

Output
- formation energy without anion corrections (meV/atom) = -1173
- V (Å³/atom) = 29.99

Geometry as Quantum ESPRESSO input:
```
&SYSTEM
  ibrav = 0, nat = 4, ntyp = 3
/
ATOMIC_SPECIES
Cl 35.45 Cl.upf
Ca 40.08 Ca.upf
Pb 207.20 Pb.upf
ATOMIC_POSITIONS angstrom
Cl 1.824 -0.046 3.925
Ca 0.000 -0.015 1.767
Ca 0.000 4.111 6.121
Pb 1.824 2.094 0.019
CELL_PARAMETERS angstrom
3.649 0.000 0.000
0.000 4.189 0.038
0.000 -0.092 7.849
```


No. 7
## CaPbSCl2 (GGA-PBEsol)

Data for CaPbSCl2 after structural relaxation. Values from VASP.

Output
- formation energy without anion corrections (meV/atom) = -1177
- V (Å³/atom) = 27.31

Geometry as Quantum ESPRESSO input:
```
&SYSTEM
  ibrav = 0, nat = 5, ntyp = 4
/
ATOMIC_SPECIES
Cl 35.45 Cl.upf
Ca 40.08 Ca.upf
S 32.06 S.upf
Pb 207.20 Pb.upf
ATOMIC_POSITIONS angstrom
Cl -1.312 -0.924 1.927
Ca 0.000 0.000 0.000
S -2.221 1.276 -0.900
Pb -4.132 -1.659 -0.345
Cl -0.600 -2.011 -1.372
CELL_PARAMETERS angstrom
-1.200 -4.023 -2.744
-2.623 -1.847 3.854
-4.442 2.552 -1.800
```


No. 8
## CaPbS2Cl (GGA-PBEsol)

Data for CaPbS2Cl after structural relaxation. Values from VASP.

Output
- formation energy without anion corrections (meV/atom) = -686
- V (Å³/atom) = 26.83

Geometry as Quantum ESPRESSO input:
```
&SYSTEM
  ibrav = 0, nat = 5, ntyp = 4
/
ATOMIC_SPECIES
Pb 207.20 Pb.upf
S 32.06 S.upf
Cl 35.45 Cl.upf
Ca 40.08 Ca.upf
ATOMIC_POSITIONS angstrom
Pb 2.533 2.573 2.573
S 0.000 2.573 0.000
Cl 2.533 0.000 0.000
S 0.000 0.000 2.573
Ca 0.000 0.000 0.000
CELL_PARAMETERS angstrom
5.066 0.000 0.000
0.000 5.146 0.000
0.000 0.000 5.146
```